# RbHCl2

RbHCl2 after structural relaxation (PBE, the Alexandria database).

DOS at the Fermi energy = 0.00 states/eV per cell
volume = 285.0 Å³/cell
crystal system = hexagonal
polymorph energy (0 for the lowest one) = 0.011 eV/f.u.
energy = -3.27 eV/atom

a = 5.1921 Å, b = 5.1921 Å, c = 12.2097 Å
α = 90.00°, β = 90.00°, γ = 120.00°
Last column: nearest neighbours and their distance in Å.
Space group P6_3/mmc (No. 194)
Unique sites:
Rb 0.0000 0.0000 0.0000 (multiplicity 2)  6 Cl 3.35
H 0.3333 0.6667 0.2500 (multiplicity 2)  2 Cl 1.56
Cl 0.3333 0.6667 0.1223 (multiplicity 4)  1 H 1.56



# ZrBe2Fe2

ZrBe2Fe2 after structural relaxation (PBE, the Alexandria database).

DOS at the Fermi energy = 1.78 states/eV per cell
volume = 120.9 Å³/cell
ΔH_f (0 K) = -2.43 kJ/mol of atoms
crystal system = tetragonal
polymorph energy (0 for the lowest one) = 0.131 eV/f.u.
energy = -6.61 eV/atom

a = 3.7395 Å, b = 3.7395 Å, c = 8.6431 Å
α = 90.00°, β = 90.00°, γ = 90.00°
Last column: nearest neighbours and their distance in Å.
Space group I4/mmm (No. 139)
Unique sites:
Zr 0.0000 0.0000 0.0000 (multiplicity 2)  8 Fe 2.85, 8 Be 2.86
Be 0.0000 0.5000 0.2500 (multiplicity 4)  4 Fe 2.17
Fe 0.0000 0.0000 0.3771 (multiplicity 4)  1 Fe 2.12, 4 Be 2.17



# Li2TlAu2

Li2TlAu2 after structural relaxation (PBE, the Alexandria database).

DOS at the Fermi energy = 2.65 states/eV per cell
volume = 182.4 Å³/cell
ΔH_f (0 K) = -34.00 kJ/mol of atoms
crystal system = tetragonal
polymorph energy (0 for the lowest one) = 0.205 eV/f.u.
energy = -2.90 eV/atom

a = 7.6852 Å, b = 7.6852 Å, c = 3.0885 Å
α = 90.00°, β = 90.00°, γ = 90.00°
Last column: nearest neighbours and their distance in Å.
Space group P4/mbm (No. 127)
Unique sites:
Li 0.1411 0.3589 0.0000 (multiplicity 4)  6 Au 2.71-2.76, 2 Tl 2.96
Tl 0.0000 0.0000 0.0000 (multiplicity 2)  4 Li 2.96, 2 Tl 3.09, 8 Au 3.32
Au 0.1480 0.6480 0.5000 (multiplicity 4)  6 Li 2.71-2.76



# NdYPu2S4

NdYPu2S4 after structural relaxation (PBE, the Alexandria database).

DOS at the Fermi energy = 15.41 states/eV per cell
volume = 177.9 Å³/cell
E_form (uncorrected) = -15.197 eV/f.u.
crystal system = monoclinic
energy = -8.95 eV/atom

a = 6.8411 Å, b = 3.9721 Å, c = 6.9465 Å
α = 90.00°, β = 109.52°, γ = 90.00°
Last column: nearest neighbours and their distance in Å.
Space group P2/m (No. 10)
Unique sites:
Nd 0.0000 0.0000 0.0000 (multiplicity 1)  6 S 2.85
Y 0.0000 0.5000 0.5000 (multiplicity 1)  6 S 2.80
Pu 0.5000 0.0000 0.5000 (multiplicity 1)  6 S 2.77-2.78
Pu 0.5000 0.5000 0.0000 (multiplicity 1)  6 S 2.82-2.83
S 0.2511 0.0000 0.7454 (multiplicity 2)  3 Pu 2.78-2.82, 2 Y 2.80, 1 Nd 2.85
S 0.2557 0.5000 0.2588 (multiplicity 2)  3 Pu 2.77-2.83, 1 Y 2.80, 2 Nd 2.85



# La2NiSnAu6

La2NiSnAu6 after structural relaxation (PBE, the Alexandria database).

DOS at the Fermi energy = 9.13 states/eV per cell
volume = 466.9 Å³/cell
ΔH_f (0 K) = -43.23 kJ/mol of atoms
crystal system = monoclinic
energy = -4.38 eV/atom

a = 12.5150 Å, b = 5.4885 Å, c = 9.1595 Å
α = 90.00°, β = 132.09°, γ = 90.00°
Last column: nearest neighbours and their distance in Å.
Space group C2/m (No. 12)
Unique sites:
La 0.2339 0.0000 0.2193 (multiplicity 4)  7 Au 3.15-3.27, 2 Ni 3.50
Ni 0.0000 0.5000 0.0000 (multiplicity 2)  6 Au 2.58-2.71
Sn 0.0000 0.0000 0.5000 (multiplicity 2)  6 Au 2.81-2.82
Au 0.0405 0.2497 0.8026 (multiplicity 8)  1 Ni 2.58, 2 Au 2.74-2.75, 1 Sn 2.82
Au 0.2301 0.5000 0.3925 (multiplicity 4)  1 Ni 2.71, 1 Sn 2.81, 2 Au 2.90



# CuRhPb3

CuRhPb3 after structural relaxation (PBE, the Alexandria database).

DOS at the Fermi energy = 8.29 states/eV per cell
volume = 147.7 Å³/cell
ΔH_f (0 K) = 41.84 kJ/mol of atoms
crystal system = cubic
polymorph energy (0 for the lowest one) = 0.000 eV/f.u.
energy = -4.08 eV/atom

a = 5.2856 Å, b = 5.2856 Å, c = 5.2856 Å
α = 90.00°, β = 90.00°, γ = 90.00°
Last column: nearest neighbours and their distance in Å.
Space group Pm-3m (No. 221)
Unique sites:
Cu 0.0000 0.0000 0.0000 (multiplicity 1)  12 Pb 3.74
Rh 0.5000 0.5000 0.5000 (multiplicity 1)  6 Pb 2.64
Pb 0.0000 0.5000 0.5000 (multiplicity 3)  2 Rh 2.64